First-principles (PBE-GGA) data for a relaxed DyYTlCu crystal, as listed in the Alexandria database.

Computed properties:
Magnetization = 0.0 μB per formula unit
Energy = -4.643 eV/atom
Space-group type = F-43m (216)
ΔH_f (0 K) = -101 kJ/mol of formula units

Cell lengths 5.1817, 5.1817, 5.1817 Å; angles 60.00, 60.00, 60.00 degrees
Closest atoms and distances in Å follow each position.
Fractional positions:
Dy 0.0000 0.0000 0.0000  4 Tl 3.17, 4 Cu 3.17
Y 0.5000 0.5000 0.5000  4 Tl 3.17, 4 Cu 3.17
Tl 0.2500 0.2500 0.2500  4 Dy 3.17, 4 Y 3.17
Cu 0.7500 0.7500 0.7500  4 Dy 3.17, 4 Y 3.17



First-principles (PBE-GGA) data for a relaxed DyTlZnCu crystal, as listed in the Alexandria database.

Computed properties:
Magnetization = 0.0 μB per formula unit
Energy = -3.243 eV/atom
Space-group type = F-43m (216)
ΔH_f (0 K) = -61 kJ/mol of formula units

Cell lengths 4.8307, 4.8307, 4.8307 Å; angles 60.00, 60.00, 60.00 degrees
Closest atoms and distances in Å follow each position.
Fractional positions:
Dy 0.0000 0.0000 0.0000  4 Cu 2.96, 4 Zn 2.96
Tl 0.5000 0.5000 0.5000  4 Cu 2.96, 4 Zn 2.96
Zn 0.2500 0.2500 0.2500  4 Tl 2.96, 4 Dy 2.96
Cu 0.7500 0.7500 0.7500  4 Tl 2.96, 4 Dy 2.96



First-principles (PBE-GGA) data for a relaxed DyZrTlCu crystal, as listed in the Alexandria database.

Computed properties:
Magnetization = 0.8 μB per formula unit
Energy = -4.973 eV/atom
Space-group type = F-43m (216)
ΔH_f (0 K) = -27 kJ/mol of formula units

Cell lengths 5.0244, 5.0244, 5.0244 Å; angles 60.00, 60.00, 60.00 degrees
Closest atoms and distances in Å follow each position.
Fractional positions:
Dy 0.0000 0.0000 0.0000  4 Tl 3.08, 4 Cu 3.08
Zr 0.5000 0.5000 0.5000  4 Tl 3.08, 4 Cu 3.08
Tl 0.2500 0.2500 0.2500  4 Zr 3.08, 4 Dy 3.08
Cu 0.7500 0.7500 0.7500  4 Zr 3.08, 4 Dy 3.08



First-principles (PBE-GGA) data for a relaxed DyTm2Cu2 crystal, as listed in the Alexandria database.

Computed properties:
Magnetization = 0.0 μB per formula unit
Energy = -4.468 eV/atom
Space-group type = P2_1/m (11)
ΔH_f (0 K) = -58 kJ/mol of formula units
Excess energy over the best structure of this formula in the dataset = 0.0697 eV per atom

Cell lengths 4.9732, 4.5370, 10.5869 Å; angles 90.00, 96.76, 90.00 degrees
Closest atoms and distances in Å follow each position.
Fractional positions:
Dy 0.1884 0.2500 0.2389  1 Cu 2.90
Dy 0.8116 0.7500 0.7611  1 Cu 2.90
Tm 0.2491 0.7500 0.4965  4 Cu 2.70-2.86
Tm 0.3452 0.2500 0.8878  5 Cu 2.64-2.89
Tm 0.6548 0.7500 0.1122  5 Cu 2.64-2.89
Tm 0.7509 0.2500 0.5035  4 Cu 2.70-2.86
Cu 0.1258 0.7500 0.0105  2 Cu 2.59, 4 Tm 2.69-2.89
Cu 0.2865 0.2500 0.6365  5 Tm 2.64-2.86
Cu 0.7135 0.7500 0.3635  5 Tm 2.64-2.86
Cu 0.8742 0.2500 0.9895  2 Cu 2.59, 4 Tm 2.69-2.89



First-principles (PBE-GGA) data for a relaxed DyTm2Cu crystal, as listed in the Alexandria database.

Computed properties:
Magnetization = 0.0 μB per formula unit
Energy = -4.531 eV/atom
Space-group type = Pnma (62)
ΔH_f (0 K) = -46 kJ/mol of formula units
Excess energy over the best structure of this formula in the dataset = 0.0000 eV per atom

Cell lengths 6.7501, 9.5881, 6.4240 Å; angles 90.00, 90.00, 90.00 degrees
Closest atoms and distances in Å follow each position.
Fractional positions:
Dy 0.0150 0.2500 0.1292  2 Cu 2.82-2.88
Dy 0.4850 0.7500 0.6292  2 Cu 2.82-2.88
Dy 0.5150 0.2500 0.3708  2 Cu 2.82-2.88
Dy 0.9850 0.7500 0.8708  2 Cu 2.82-2.88
Tm 0.1890 0.0589 0.6866  2 Cu 2.79-2.88
Tm 0.1890 0.4411 0.6866  2 Cu 2.79-2.88
Tm 0.3110 0.5589 0.1866  2 Cu 2.79-2.88
Tm 0.3110 0.9411 0.1866  2 Cu 2.79-2.88
Tm 0.6890 0.0589 0.8134  2 Cu 2.79-2.88
Tm 0.6890 0.4411 0.8134  2 Cu 2.79-2.88
Tm 0.8110 0.5589 0.3134  2 Cu 2.79-2.88
Tm 0.8110 0.9411 0.3134  2 Cu 2.79-2.88
Cu 0.0951 0.7500 0.4475  4 Tm 2.79-2.88, 2 Dy 2.82-2.88
Cu 0.4049 0.2500 0.9475  4 Tm 2.79-2.88, 2 Dy 2.82-2.88
Cu 0.5951 0.7500 0.0525  4 Tm 2.79-2.88, 2 Dy 2.82-2.88
Cu 0.9049 0.2500 0.5525  4 Tm 2.79-2.88, 2 Dy 2.82-2.88



First-principles (PBE-GGA) data for a relaxed Dy3TmCu2 crystal, as listed in the Alexandria database.

Computed properties:
Magnetization = 0.0 μB per formula unit
Energy = -4.399 eV/atom
Space-group type = Ibam (72)
ΔH_f (0 K) = 7 kJ/mol of formula units
Excess energy over the best structure of this formula in the dataset = 0.1822 eV per atom

Cell lengths 8.2998, 8.2998, 8.2998 Å; angles 132.01, 72.59, 129.05 degrees
Closest atoms and distances in Å follow each position.
Fractional positions:
Dy 0.0170 0.7500 0.2670  4 Cu 2.83-2.93
Dy 0.2500 0.2500 0.0000  4 Cu 2.95
Dy 0.4830 0.7500 0.7330  4 Cu 2.83-2.93
Dy 0.5170 0.2500 0.2670  4 Cu 2.83-2.93
Dy 0.7500 0.7500 0.0000  4 Cu 2.95
Dy 0.9830 0.2500 0.7330  4 Cu 2.83-2.93
Tm 0.0000 0.5000 0.5000  2 Cu 2.72
Tm 0.5000 0.0000 0.5000  2 Cu 2.72
Cu 0.1407 0.2084 0.3491  1 Tm 2.72, 6 Dy 2.83-2.95
Cu 0.3593 0.7084 0.0678  1 Tm 2.72, 6 Dy 2.83-2.95
Cu 0.6407 0.2916 0.9322  1 Tm 2.72, 6 Dy 2.83-2.95
Cu 0.8593 0.7916 0.6509  1 Tm 2.72, 6 Dy 2.83-2.95



First-principles (PBE-GGA) data for a relaxed DyTm4Cu crystal, as listed in the Alexandria database.

Computed properties:
Magnetization = 0.0 μB per formula unit
Energy = -4.494 eV/atom
Space-group type = P4/mmm (123)
ΔH_f (0 K) = -37 kJ/mol of formula units

Cell lengths 3.4518, 3.4518, 13.6191 Å; angles 90.00, 90.00, 90.00 degrees
Closest atoms and distances in Å follow each position.
Fractional positions:
Dy 0.0000 0.0000 0.0000  4 Dy 3.45, 8 Tm 3.50
Tm 0.0000 0.0000 0.3761  4 Cu 2.97
Tm 0.0000 0.0000 0.6239  4 Cu 2.97
Tm 0.5000 0.5000 0.1845  8 Tm 3.45-3.57, 4 Dy 3.50
Tm 0.5000 0.5000 0.8155  8 Tm 3.45-3.57, 4 Dy 3.50
Cu 0.5000 0.5000 0.5000  8 Tm 2.97



First-principles (PBE-GGA) data for a relaxed DyTm3Cu crystal, as listed in the Alexandria database.

Computed properties:
Magnetization = 0.0 μB per formula unit
Energy = -4.312 eV/atom
Space-group type = Pm-3m (221)
ΔH_f (0 K) = 54 kJ/mol of formula units

Cell lengths 5.2948, 5.2948, 5.2948 Å; angles 90.00, 90.00, 90.00 degrees
Closest atoms and distances in Å follow each position.
Fractional positions:
Dy 0.0000 0.0000 0.0000  12 Tm 3.74
Tm 0.0000 0.5000 0.5000  2 Cu 2.65
Tm 0.5000 0.0000 0.5000  2 Cu 2.65
Tm 0.5000 0.5000 0.0000  2 Cu 2.65
Cu 0.5000 0.5000 0.5000  6 Tm 2.65